Density functional theory data (PBE) for Rb3TiF7 after structural relaxation.

Computed properties:
The magnetization is 0.20 μB per cell. The crystal system is tetragonal. The value obtained for the formation energy without anion corrections is -3153 meV/atom. As for the density of states at the Fermi level: 0.00 states/eV per atom.

a = 8.278 Å, b = 8.278 Å, c = 6.034 Å
α = 90.00°, β = 90.00°, γ = 90.00°
Atoms (fractional coordinates):
Rb1 0.000 0.000 0.000
Rb2 0.193 0.307 0.500
Rb3 0.307 0.807 0.500
Rb4 0.500 0.500 0.000
Rb5 0.693 0.193 0.500
Rb6 0.807 0.693 0.500
Ti1 0.000 0.500 0.000
Ti2 0.500 0.000 0.000
F1 0.000 0.000 0.500
F2 0.112 0.612 0.226
F3 0.112 0.612 0.774
F4 0.162 0.338 0.000
F5 0.338 0.838 0.000
F6 0.388 0.112 0.226
F7 0.388 0.112 0.774
F8 0.500 0.500 0.500
F9 0.612 0.888 0.226
F10 0.612 0.888 0.774
F11 0.662 0.162 0.000
F12 0.838 0.662 0.000
F13 0.888 0.388 0.226
F14 0.888 0.388 0.774